1.
VASP calculation (PBE-GGA) on a relaxed structure of KAg2Sb.

Cell: 3.5523 3.5523 8.3052 Å, 90.00 90.00 90.00°
Space group P4mm (No. 99)
Unique sites:
K (0.0000, 0.0000, 0.0000)
Ag (0.0000, 0.0000, 0.5290)
Ag (0.5000, 0.5000, 0.6919)
Sb (0.5000, 0.5000, 0.3213)

Results
formation energy from raw total energies: 39 meV/atom
total DFT energy (no corrections): -2.69 eV/atom
Fermi-level density of states: 1.2 states/eV/f.u.

***

2.
VASP calculation (PBE-GGA) on a relaxed structure of KAg2Sb.

Cell: 5.9676 3.0702 6.1197 Å, 90.00 117.52 90.00°
Space group P2/m (No. 10)
Unique sites:
K (0.0000, 0.0000, 0.0000)
Ag (0.5000, 0.0000, 0.5000)
Ag (0.5000, 0.5000, 0.0000)
Sb (0.0000, 0.5000, 0.5000)

Results
formation energy from raw total energies: 137 meV/atom
total DFT energy (no corrections): -2.59 eV/atom
Fermi-level density of states: 0.9 states/eV/f.u.

***

3.
VASP calculation (PBE-GGA) on a relaxed structure of KAg2Sb.

Cell: 4.8723 14.7085 7.2742 Å, 90.00 90.00 90.00°
Space group Cmcm (No. 63)
Unique sites:
K (0.0000, 0.0794, 0.2500)
Ag (0.0000, 0.2892, 0.0528)
Sb (0.0000, 0.1604, 0.7500)

Results
formation energy from raw total energies: -154 meV/atom
total DFT energy (no corrections): -2.88 eV/atom
Fermi-level density of states: 0.6 states/eV/f.u.

***

4.
VASP calculation (PBE-GGA) on a relaxed structure of KAgSb.

Cell: 4.8632 4.8667 11.5023 Å, 90.23 90.07 119.91°
Space group P-1 (No. 2)
Unique sites:
K (0.1686, 0.3286, 0.3141)
Ag (0.1670, 0.3417, 0.8708)
Sb (0.5005, 0.0078, 0.8770)

Results
formation energy from raw total energies: -120 meV/atom
total DFT energy (no corrections): -2.81 eV/atom
Fermi-level density of states: 1.1 states/eV/f.u.

***

5.
VASP calculation (PBE-GGA) on a relaxed structure of KAgSb2.

Cell: 5.3987 5.3987 19.3843 Å, 90.00 90.00 90.00°
Space group I-42d (No. 122)
Unique sites:
K (0.0000, 0.0000, 0.0000)
Ag (0.0000, 0.0000, 0.5000)
Sb (0.1210, 0.2500, 0.6250)

Results
formation energy from raw total energies: -42 meV/atom
total DFT energy (no corrections): -3.09 eV/atom
Fermi-level density of states: 2.7 states/eV/f.u.

***

6.
VASP calculation (PBE-GGA) on a relaxed structure of KAg3Sb.

Cell: 5.3655 5.3655 5.3655 Å, 90.00 90.00 90.00°
Space group Pm-3m (No. 221)
Unique sites:
K (0.0000, 0.0000, 0.0000)
Ag (0.0000, 0.0000, 0.5000)
Sb (0.5000, 0.5000, 0.5000)

Results
formation energy from raw total energies: 1120 meV/atom
total DFT energy (no corrections): -1.63 eV/atom
Fermi-level density of states: 2.9 states/eV/f.u.

***

7.
VASP calculation (PBE-GGA) on a relaxed structure of KAg3Sb3.

Cell: 8.0711 8.0711 24.0747 Å, 90.00 90.00 120.00°
Space group R-3 (No. 148, hexagonal axes)
Unique sites:
K (0.0000, 0.0000, 0.1664)
Ag (0.0129, 0.3634, 0.6192)
Sb (0.0105, 0.3132, 0.4005)

Results
formation energy from raw total energies: 115 meV/atom
total DFT energy (no corrections): -3.03 eV/atom
Fermi-level density of states: 5.2 states/eV/f.u.

***

8.
VASP calculation (PBE-GGA) on a relaxed structure of KAgSb2.

Cell: 7.6607 7.6607 7.6607 Å, 90.00 90.00 90.00°
Space group F-43m (No. 216)
Unique sites:
K (0.0000, 0.0000, 0.0000)
Ag (0.2500, 0.2500, 0.7500)
Sb (0.0000, 0.0000, 0.5000)
Sb (0.2500, 0.2500, 0.2500)

Results
formation energy from raw total energies: 107 meV/atom
total DFT energy (no corrections): -2.94 eV/atom
Fermi-level density of states: 1.5 states/eV/f.u.

***

9.
VASP calculation (PBE-GGA) on a relaxed structure of K4AgSb.

Cell: 9.7338 9.7338 9.7338 Å, 90.00 90.00 90.00°
Space group F-43m (No. 216)
Unique sites:
K (0.1247, 0.1247, 0.1247)
Ag (0.0000, 0.0000, 0.5000)
Sb (0.2500, 0.2500, 0.7500)

Results
formation energy from raw total energies: 257 meV/atom
total DFT energy (no corrections): -1.64 eV/atom
Fermi-level density of states: 4.9 states/eV/f.u.

***

10.
VASP calculation (PBE-GGA) on a relaxed structure of KAgSb2.

Cell: 6.7658 10.3283 3.1257 Å, 90.00 90.35 90.00°
Space group C2/m (No. 12)
Unique sites:
K (0.0000, 0.0000, 0.0000)
Ag (0.0000, 0.5000, 0.0000)
Sb (0.2500, 0.2500, 0.5000)

Results
formation energy from raw total energies: 38 meV/atom
total DFT energy (no corrections): -3.01 eV/atom
Fermi-level density of states: 1.9 states/eV/f.u.

***

11.
VASP calculation (PBE-GGA) on a relaxed structure of KAgSb2.

Cell: 3.4054 4.7308 7.2300 Å, 90.00 90.00 90.00°
Space group Pmmm (No. 47)
Unique sites:
K (0.0000, 0.0000, 0.0000)
Ag (0.5000, 0.0000, 0.5000)
Sb (0.5000, 0.5000, 0.2881)

Results
formation energy from raw total energies: -141 meV/atom
total DFT energy (no corrections): -3.19 eV/atom
Fermi-level density of states: 0.9 states/eV/f.u.

***

12.
VASP calculation (PBE-GGA) on a relaxed structure of KAg2Sb.

Cell: 4.6689 4.6689 10.6492 Å, 90.00 90.00 90.00°
Space group P4/nmm (No. 129, origin choice 2)
Unique sites:
K (0.2500, 0.2500, 0.2303)
Ag (0.2500, 0.2500, 0.9141)
Ag (0.2500, 0.7500, 0.5000)
Sb (0.2500, 0.2500, 0.6518)

Results
formation energy from raw total energies: 0 meV/atom
total DFT energy (no corrections): -2.73 eV/atom
Fermi-level density of states: 2.4 states/eV/f.u.

***

13.
VASP calculation (PBE-GGA) on a relaxed structure of KAgSb2.

Cell: 9.3207 4.2496 6.7146 Å, 90.00 100.87 90.00°
Space group C2/m (No. 12)
Unique sites:
K (0.0000, 0.0000, 0.0000)
Ag (0.0000, 0.5000, 0.5000)
Sb (0.2447, 0.0000, 0.6546)

Results
formation energy from raw total energies: -111 meV/atom
total DFT energy (no corrections): -3.16 eV/atom
Fermi-level density of states: 1.4 states/eV/f.u.

***

14.
VASP calculation (PBE-GGA) on a relaxed structure of KAgSb.

Cell: 5.0132 8.2003 8.5084 Å, 90.00 90.00 90.00°
Space group Imm2 (No. 44)
Unique sites:
K (0.0000, 0.0000, 0.0000)
K (0.0000, 0.5000, 0.1011)
Ag (0.0000, 0.2082, 0.3878)
Sb (0.0000, 0.3175, 0.7192)

Results
formation energy from raw total energies: -268 meV/atom
total DFT energy (no corrections): -2.96 eV/atom
Fermi-level density of states: 0.7 states/eV/f.u.